A plane-wave DFT calculation with GGA-PBE was carried out for crystalline Nd2Dy3Sn4 at its relaxed geometry.

abc: 7.038 8.961 9.275
angles: 90.00 112.30 90.00
Atoms (fractional coordinates):
Dy (0.500, 0.500, 0.000)
Dy (0.000, 0.000, 0.000)
Dy (0.456, 0.250, 0.413)
Dy (0.044, 0.750, 0.587)
Dy (0.544, 0.750, 0.587)
Dy (0.956, 0.250, 0.413)
Sn (0.686, 0.555, 0.373)
Sn (0.314, 0.445, 0.627)
Sn (0.781, 0.250, 0.061)
Sn (0.186, 0.945, 0.373)
Sn (0.219, 0.750, 0.939)
Sn (0.281, 0.250, 0.061)
Sn (0.719, 0.750, 0.939)
Sn (0.814, 0.055, 0.627)
Nd (0.389, 0.090, 0.778)
Nd (0.111, 0.590, 0.222)
Nd (0.889, 0.410, 0.778)
Nd (0.611, 0.910, 0.222)

Properties
- E above lowest polymorph (meV per atom) = 168
- SG = Cmce
- formation enthalpy at 0 K (eV per atom) = -0.62

***

A plane-wave DFT calculation with GGA-PBE was carried out for crystalline Pr2GdEr at its relaxed geometry.

abc: 5.077 5.157 5.157
angles: 90.00 90.00 90.00
Site moments in Bohr magnetons follow the coordinates.
Atoms (fractional coordinates):
Gd (0.500, 0.000, 0.000)  7.16
Pr (0.000, 0.000, 0.500)  -0.03
Pr (0.000, 0.500, 0.000)  -0.03
Er (0.500, 0.500, 0.500)  -0.01

Properties
- E above lowest polymorph (meV per atom) = 0
- SG = P4/mmm
- formation enthalpy at 0 K (eV per atom) = 0.01

***

A plane-wave DFT calculation with GGA-PBE was carried out for crystalline MgAlAg4 at its relaxed geometry.

abc: 5.480 5.480 5.480
angles: 60.00 60.00 60.00
Atoms (fractional coordinates):
Ag (0.875, 0.375, 0.375)
Ag (0.375, 0.875, 0.375)
Ag (0.375, 0.375, 0.375)
Ag (0.375, 0.375, 0.875)
Mg (0.000, 0.000, 0.000)
Al (0.750, 0.750, 0.750)

Properties
- E above lowest polymorph (meV per atom) = 161
- SG = F-43m
- formation enthalpy at 0 K (eV per atom) = 0.05

***

A plane-wave DFT calculation with GGA-PBE was carried out for crystalline LaInSi2S at its relaxed geometry.

abc: 5.525 6.365 5.525
angles: 90.00 90.00 90.00
Site moments in Bohr magnetons follow the coordinates.
Atoms (fractional coordinates):
S (0.500, 0.500, 0.500)  0.49
Si (0.500, 0.000, 0.000)  0.08
Si (0.000, 0.000, 0.500)  0.04
In (0.000, 0.500, 0.000)  0.04
La (0.000, 0.000, 0.000)  0.13

Properties
- energy relative to the elements, uncorrected (eV/atom) = 1.340
- SG = P4/mmm

***

Values for DFT total energy, Ry/atom, ordered as above
-0.367 -0.517 -0.201 -0.234